## RbTiSn2 (PBE-GGA)

Data for a relaxed structure of RbTiSn2.

```
RbTiSn2
1.0
3.715 0.000 0.000
0.000 3.715 0.000
0.000 0.000 8.292
Rb Ti Sn
1 1 2
Direct
0.000 0.000 0.000
0.000 0.000 0.500
0.500 0.500 0.326
0.500 0.500 0.674
```

Symmetry = P4/mmm, No. 123
Relative energy among the computed polymorphs = 0.0000 eV/atom
ΔH_f (0 K) = -0.093 eV per atom


## Sc2SiSe (PBE-GGA)

Data for a relaxed structure of Sc2SiSe.

```
Sc2SiSe
1.0
-1.688 1.844 6.714
1.688 -1.844 6.714
1.688 1.844 -6.714
Sc Si Se
2 1 1
Direct
0.000 0.000 0.000
0.759 0.259 0.500
0.408 0.408 0.000
0.164 0.664 0.500
```

Symmetry = Imm2, No. 44
ΔE_f (raw) = -0.95 eV/atom
Relative energy among the computed polymorphs = 0.2952 eV/atom


## GdTmTlRu (PBE-GGA)

Data for a relaxed structure of GdTmTlRu.

```
GdTmTlRu
1.0
0.000 3.588 3.588
3.588 0.000 3.588
3.588 3.588 0.000
Gd Tm Tl Ru
1 1 1 1
Direct
0.000 0.000 0.000
0.500 0.500 0.500
0.750 0.750 0.750
0.250 0.250 0.250
```

Symmetry = F-43m, No. 216
ΔH_f (0 K) = -0.247 eV per atom


## La2BeTl (PBE-GGA)

Data for a relaxed structure of La2BeTl.

```
La2BeTl
1.0
-2.301 2.301 5.098
2.301 -2.301 5.098
2.301 2.301 -5.098
La Be Tl
2 1 1
Direct
0.000 0.000 0.000
0.750 0.250 0.500
0.500 0.500 0.000
0.250 0.750 0.500
```

Symmetry = I-4m2, No. 119
Relative energy among the computed polymorphs = 0.1789 eV/atom
ΔH_f (0 K) = 0.076 eV per atom